PmPa2Mn after structural relaxation, computed with PBE.

abc: 9.0012 9.0012 9.0012
angles: 23.33 23.33 23.33
Atoms (fractional coordinates):
1 Pm 0.0000 0.0000 0.0000
2 Pa 0.2244 0.2244 0.2244
3 Pa 0.7756 0.7756 0.7756
4 Mn 0.5000 0.5000 0.5000

Values from the calculation:
Space-group type: R-3m
ΔH_f (0 K): 0.71 eV/f.u.

CaReN3 after structural relaxation, computed with PBE.

abc: 3.5029 3.5029 12.8018
angles: 90.00 90.00 120.00
Atoms (fractional coordinates):
1 Ca 0.0000 0.0000 0.0000
2 Ca 0.0000 0.0000 0.5000
3 Re 0.3333 0.6667 0.2500
4 Re 0.6667 0.3333 0.7500
5 N 0.0000 0.0000 0.2500
6 N 0.0000 0.0000 0.7500
7 N 0.3333 0.6667 0.1039
8 N 0.3333 0.6667 0.3961
9 N 0.6667 0.3333 0.6039
10 N 0.6667 0.3333 0.8961

Values from the calculation:
Space-group type: P6_3/mmc
ΔE_f (raw): 0.0068 eV/atom

CaCu2Br after structural relaxation, computed with PBE.

abc: 3.6065 3.5749 7.0943
angles: 90.00 103.93 90.00
Atoms (fractional coordinates):
1 Ca 0.0000 0.0000 0.0000
2 Cu 0.1638 0.5000 0.3401
3 Cu 0.6594 0.0000 0.3320
4 Br 0.3940 0.5000 0.7769

Values from the calculation:
Space-group type: Pm
Offset from the most stable computed form: 1.6 kJ per mole of atoms
ΔE_f (raw): -0.4377 eV/atom

TaMo4W4 after structural relaxation, computed with PBE.

abc: 5.6840 5.6840 10.0149
angles: 90.00 90.00 90.00
Atoms (fractional coordinates):
1 Ta 0.2500 0.7500 0.2500
2 Ta 0.7500 0.2500 0.7500
3 Mo 0.0033 0.7500 0.5153
4 Mo 0.2500 0.5033 0.9847
5 Mo 0.2500 0.9967 0.9847
6 Mo 0.4967 0.7500 0.5153
7 Mo 0.5033 0.2500 0.4847
8 Mo 0.7500 0.0033 0.0153
9 Mo 0.7500 0.4967 0.0153
10 Mo 0.9967 0.2500 0.4847
11 W 0.0189 0.2500 0.1786
12 W 0.2500 0.0189 0.6786
13 W 0.2500 0.4811 0.6786
14 W 0.4811 0.2500 0.1786
15 W 0.5189 0.7500 0.8214
16 W 0.7500 0.5189 0.3214
17 W 0.7500 0.9811 0.3214
18 W 0.9811 0.7500 0.8214

Values from the calculation:
Space-group type: P4_2/nmc
Offset from the most stable computed form: 76.0 kJ per mole of atoms
ΔH_f (0 K): 6.38 eV/f.u.

YClF3 after structural relaxation, computed with PBE.

abc: 4.4427 4.4427 4.4427
angles: 90.00 90.00 90.00
Atoms (fractional coordinates):
1 Y 0.0000 0.0000 0.0000
2 Cl 0.5000 0.5000 0.5000
3 F 0.0000 0.0000 0.5000
4 F 0.0000 0.5000 0.0000
5 F 0.5000 0.0000 0.0000

Values from the calculation:
Space-group type: Pm-3m
Offset from the most stable computed form: 0.0 kJ per mole of atoms
ΔE_f (raw): -2.9513 eV/atom

Re2Ir3Os4 after structural relaxation, computed with PBE.

abc: 6.1242 6.1242 7.1879
angles: 90.21 90.21 95.57
Atoms (fractional coordinates):
1 Re 0.0298 0.3013 0.4322
2 Re 0.3013 0.0298 0.9322
3 Re 0.6987 0.9702 0.0678
4 Re 0.9702 0.6987 0.5678
5 Ir 0.0873 0.9127 0.2500
6 Ir 0.2433 0.4217 0.7533
7 Ir 0.4217 0.2433 0.2533
8 Ir 0.5783 0.7567 0.7467
9 Ir 0.7567 0.5783 0.2467
10 Ir 0.9127 0.0873 0.7500
11 Os 0.0257 0.3056 0.0687
12 Os 0.3056 0.0257 0.5687
13 Os 0.3608 0.6333 0.4317
14 Os 0.3667 0.6392 0.0683
15 Os 0.6333 0.3608 0.9317
16 Os 0.6392 0.3667 0.5683
17 Os 0.6944 0.9743 0.4313
18 Os 0.9743 0.6944 0.9313

Values from the calculation:
Space-group type: C2/c
ΔH_f (0 K): 1.18 eV/f.u.